(1)
A plane-wave DFT calculation with PBE-GGA was carried out for an optimized crystal structure of NbBi2Br.

Unit cell a=8.5850 b=8.5850 c=8.5850 alpha=134.09 beta=134.09 gamma=66.94
Closest atoms and distances in Å follow each position.
Positions (direct):
Nb 0.0000 0.0000 0.0000  4 Bi 2.73
Nb 0.7500 0.2500 0.5000  4 Bi 2.73
Bi 0.0539 0.6250 0.9289  2 Nb 2.73
Bi 0.3750 0.3039 0.4289  2 Nb 2.73
Bi 0.6961 0.1250 0.0711  2 Nb 2.73
Bi 0.8750 0.9461 0.5711  2 Nb 2.73
Br 0.2500 0.7500 0.5000  4 Bi 3.26
Br 0.5000 0.5000 0.0000  4 Bi 3.26

Output
* Fermi-level density of states: 1.730 states/eV/f.u.
* E_form (uncorrected): 0.553 eV/atom
* relative energy among the computed polymorphs: 0.0 meV/atom
* space-group type: I-42d, No. 122

***

(2)
A plane-wave DFT calculation with PBE-GGA was carried out for an optimized crystal structure of B2OsI.

Unit cell a=4.1607 b=4.1607 c=4.1607 alpha=60.00 beta=60.00 gamma=60.00
Closest atoms and distances in Å follow each position.
Positions (direct):
B 0.2500 0.2500 0.2500  4 Os 2.55, 4 I 2.55
B 0.7500 0.7500 0.7500  4 Os 2.55, 4 I 2.55
Os 0.0000 0.0000 0.0000  8 B 2.55
I 0.5000 0.5000 0.5000  8 B 2.55

Output
* Fermi-level density of states: 1.827 states/eV/f.u.
* E_form (uncorrected): 2.008 eV/atom
* relative energy among the computed polymorphs: 1103.2 meV/atom
* space-group type: Fm-3m, No. 225

***

(3)
A plane-wave DFT calculation with PBE-GGA was carried out for an optimized crystal structure of Sc2Al5Fe5.

Unit cell a=4.0657 b=5.0234 c=8.8093 alpha=90.00 beta=90.00 gamma=90.00
Closest atoms and distances in Å follow each position.
Positions (direct):
Sc 0.0000 0.0000 0.0000  6 Al 2.77-2.92
Sc 0.0000 0.5000 0.5000  10 Al 2.92-3.23, 8 Fe 3.26
Al 0.0000 0.0000 0.3143  4 Fe 2.47, 2 Al 2.61, 1 Sc 2.77
Al 0.0000 0.0000 0.6857  4 Fe 2.47, 2 Al 2.61, 1 Sc 2.77
Al 0.0000 0.5000 0.1681  6 Fe 2.48-2.52
Al 0.0000 0.5000 0.8319  6 Fe 2.48-2.52
Al 0.5000 0.0000 0.5000  4 Fe 2.57, 4 Al 2.61
Fe 0.5000 0.2547 0.2466  3 Fe 2.46-2.56, 5 Al 2.47-2.57
Fe 0.5000 0.2547 0.7534  3 Fe 2.46-2.56, 5 Al 2.47-2.57
Fe 0.5000 0.5000 0.0000  4 Fe 2.50, 4 Al 2.52
Fe 0.5000 0.7453 0.2466  3 Fe 2.46-2.56, 5 Al 2.47-2.57
Fe 0.5000 0.7453 0.7534  3 Fe 2.46-2.56, 5 Al 2.47-2.57

Output
* Fermi-level density of states: 10.232 states/eV/f.u.
* formation energy: -285 meV per atom
* space-group type: Pmmm, No. 47

***

(4)
A plane-wave DFT calculation with PBE-GGA was carried out for an optimized crystal structure of RbUSi2O8.

Unit cell a=5.4858 b=5.4858 c=8.1494 alpha=102.08 beta=102.08 gamma=61.90
Closest atoms and distances in Å follow each position.
Positions (direct):
Rb 0.0000 0.0000 0.0000  8 O 3.00-3.04
U 0.0000 0.0000 0.5000  6 O 2.06-2.10
Si 0.3923 0.3923 0.7280  4 O 1.62-1.66
Si 0.6077 0.6077 0.2720  4 O 1.62-1.66
O 0.2217 0.2217 0.6080  1 Si 1.66
O 0.2347 0.7112 0.6737  1 Si 1.66
O 0.2888 0.7653 0.3263  1 Si 1.66
O 0.3817 0.3817 0.9239  1 Si 1.62
O 0.6183 0.6183 0.0761  1 Si 1.62
O 0.7112 0.2347 0.6737  1 Si 1.66
O 0.7653 0.2888 0.3263  1 Si 1.66
O 0.7783 0.7783 0.3920  1 Si 1.66

Output
* E_form (uncorrected): -2.532 eV/atom
* space-group type: C2/m, No. 12

***

(5)
A plane-wave DFT calculation with PBE-GGA was carried out for an optimized crystal structure of KPm4F12.

Unit cell a=7.8857 b=7.8857 c=7.8857 alpha=109.63 beta=109.43 gamma=109.36
Closest atoms and distances in Å follow each position.
Positions (direct):
K 0.0000 0.0000 0.0000  8 F 2.87-2.93
Pm 0.0000 0.0000 0.5000  6 F 2.28-2.30
Pm 0.0000 0.5000 0.0000  6 F 2.28-2.30
Pm 0.5000 0.0000 0.0000  6 F 2.28-2.30
Pm 0.5000 0.5000 0.5000  6 F 2.28-2.30
F 0.0118 0.7833 0.2285  2 Pm 2.30
F 0.2272 0.4552 0.2279  2 Pm 2.30
F 0.2272 0.9993 0.7721  2 Pm 2.30
F 0.2587 0.2483 0.5070  2 Pm 2.28
F 0.2587 0.7517 0.0104  2 Pm 2.28
F 0.4452 0.2167 0.2285  2 Pm 2.30
F 0.5548 0.7833 0.7715  2 Pm 2.30
F 0.7413 0.2483 0.9896  2 Pm 2.28
F 0.7413 0.7517 0.4930  2 Pm 2.28
F 0.7728 0.0007 0.2279  2 Pm 2.30
F 0.7728 0.5448 0.7721  2 Pm 2.30
F 0.9882 0.2167 0.7715  2 Pm 2.30

Output
* Fermi-level density of states: 3.150 states/eV/f.u.
* E_form (uncorrected): -3.770 eV/atom
* space-group type: Immm, No. 71

***

(6)
A plane-wave DFT calculation with PBE-GGA was carried out for an optimized crystal structure of Pr2Ho3Tm6.

Unit cell a=16.8313 b=16.8313 c=16.8313 alpha=163.92 beta=163.92 gamma=22.81
Closest atoms and distances in Å follow each position.
Positions (direct):
Pr 0.0467 0.0467 0.0000  1 Pr 3.08, 4 Tm 3.45
Pr 0.9533 0.9533 0.0000  1 Pr 3.08, 4 Tm 3.45
Ho 0.2976 0.2976 0.0000  9 Tm 3.34-3.52
Ho 0.5000 0.5000 0.0000  8 Pr 3.67
Ho 0.7024 0.7024 0.0000  9 Tm 3.34-3.52
Tm 0.1230 0.6230 0.5000  6 Tm 3.33-3.34, 2 Pr 3.45, 2 Ho 3.52
Tm 0.1947 0.1947 0.0000  4 Tm 3.34, 5 Ho 3.34-3.40
Tm 0.3770 0.8770 0.5000  6 Tm 3.33-3.34, 2 Pr 3.45, 2 Ho 3.52
Tm 0.6230 0.1230 0.5000  6 Tm 3.33-3.34, 2 Pr 3.45, 2 Ho 3.52
Tm 0.8053 0.8053 0.0000  4 Tm 3.34, 5 Ho 3.34-3.40
Tm 0.8770 0.3770 0.5000  6 Tm 3.33-3.34, 2 Pr 3.45, 2 Ho 3.52

Output
* Fermi-level density of states: 16.934 states/eV/f.u.
* formation energy: 271 meV per atom
* relative energy among the computed polymorphs: 84.6 meV/atom
* space-group type: I4/mmm, No. 139

***

(7)
A plane-wave DFT calculation with PBE-GGA was carried out for an optimized crystal structure of Y2Zn2Bi.

Unit cell a=8.3692 b=8.3692 c=3.7125 alpha=90.00 beta=90.00 gamma=90.00
Closest atoms and distances in Å follow each position.
Positions (direct):
Y 0.1656 0.3344 0.0000  6 Zn 3.06-3.10, 2 Bi 3.12
Y 0.3344 0.8344 0.0000  6 Zn 3.06-3.10, 2 Bi 3.12
Y 0.6656 0.1656 0.0000  6 Zn 3.06-3.10, 2 Bi 3.12
Y 0.8344 0.6656 0.0000  6 Zn 3.06-3.10, 2 Bi 3.12
Zn 0.1291 0.6291 0.5000  1 Zn 3.06, 6 Y 3.06-3.10
Zn 0.3709 0.1291 0.5000  1 Zn 3.06, 6 Y 3.06-3.10
Zn 0.6291 0.8709 0.5000  1 Zn 3.06, 6 Y 3.06-3.10
Zn 0.8709 0.3709 0.5000  1 Zn 3.06, 6 Y 3.06-3.10
Bi 0.0000 0.0000 0.0000  4 Y 3.12
Bi 0.5000 0.5000 0.0000  4 Y 3.12

Output
* Fermi-level density of states: 4.584 states/eV/f.u.
* formation energy: -210 meV per atom
* relative energy among the computed polymorphs: 254.9 meV/atom
* space-group type: P4/mbm, No. 127

***

(8)
A plane-wave DFT calculation with PBE-GGA was carried out for an optimized crystal structure of K2NbFeMo.

Unit cell a=6.3225 b=6.3225 c=4.3373 alpha=90.00 beta=90.00 gamma=90.00
Closest atoms and distances in Å follow each position.
Positions (direct):
K 0.0000 0.5000 0.0000  2 Fe 3.16
K 0.5000 0.0000 0.0000  2 Fe 3.16
Nb 0.0000 0.0000 0.5000  2 Fe 2.17
Fe 0.0000 0.0000 0.0000  2 Nb 2.17
Mo 0.5000 0.5000 0.5000  8 K 3.83

Output
* Fermi-level density of states: 5.863 states/eV/f.u.
* formation energy: 2023 meV per atom
* space-group type: P4/mmm, No. 123

***

Number 1: total magnetization 0.00 μB/atom. Number 2: total magnetization 0.00 μB/atom. Number 3: total magnetization 0.65 μB/atom. Number 4: total magnetization 0.08 μB/atom. Number 5: total magnetization 0.00 μB/atom. Number 6: total magnetization 0.00 μB/atom. Number 7: total magnetization 0.00 μB/atom. Number 8: total magnetization 0.98 μB/atom.